Record 1
A geometry-optimized PrSmMgSn structure. Source: Alexandria via LeMat-Bulk, functional GGA-PBE.

Cell: 5.4411 5.4411 5.4411 Å, 60.00 60.00 60.00°
Last column: nearest neighbours and their distance in Å.
Element x y z (fractional)
Pr (0.0000, 0.0000, 0.0000)  4 Sn 3.33, 4 Mg 3.33
Sm (0.5000, 0.5000, 0.5000)  4 Sn 3.33, 4 Mg 3.33
Mg (0.7500, 0.7500, 0.7500)  4 Pr 3.33, 4 Sm 3.33
Sn (0.2500, 0.2500, 0.2500)  4 Pr 3.33, 4 Sm 3.33

Mass density: 6.3 Mg/m³
N(E_F): 3.3 states/eV/f.u.
Calculated formation energy: -436 meV per atom

Record 2
A geometry-optimized Pr2SmMg2Sn2 structure. Source: Alexandria via LeMat-Bulk, functional GGA-PBE.

Cell: 9.5448 9.5448 9.5448 Å, 30.49 30.49 30.49°
Last column: nearest neighbours and their distance in Å.
Element x y z (fractional)
Pr (0.1295, 0.1295, 0.1295)  3 Mg 3.36, 4 Sn 3.36-3.73, 1 Sm 3.53, 3 Pr 3.54
Pr (0.8705, 0.8705, 0.8705)  3 Mg 3.36, 4 Sn 3.36-3.73, 1 Sm 3.53, 3 Pr 3.54
Sm (0.0000, 0.0000, 0.0000)  6 Sn 3.43, 6 Mg 3.43, 2 Pr 3.53
Mg (0.4005, 0.4005, 0.4005)  3 Sn 2.90
Mg (0.5995, 0.5995, 0.5995)  3 Sn 2.90
Sn (0.2662, 0.2662, 0.2662)  3 Mg 2.90
Sn (0.7338, 0.7338, 0.7338)  3 Mg 2.90

Mass density: 6.0 Mg/m³
N(E_F): 5.5 states/eV/f.u.
Calculated formation energy: -378 meV per atom

Record 3
A geometry-optimized SrPrSmMg structure. Source: Alexandria via LeMat-Bulk, functional GGA-PBE.

Cell: 5.8180 5.8180 5.8180 Å, 60.00 60.00 60.00°
Last column: nearest neighbours and their distance in Å.
Element x y z (fractional)
Sr (0.0000, 0.0000, 0.0000)  4 Pr 3.56, 4 Sm 3.56
Pr (0.2500, 0.2500, 0.2500)  4 Mg 3.56, 4 Sr 3.56
Sm (0.7500, 0.7500, 0.7500)  4 Sr 3.56, 4 Mg 3.56
Mg (0.5000, 0.5000, 0.5000)  4 Sm 3.56, 4 Pr 3.56

Mass density: 4.8 Mg/m³
N(E_F): 4.5 states/eV/f.u.
Calculated formation energy: 134 meV per atom

Record 4
A geometry-optimized TbPr2SmMg structure. Source: Alexandria via LeMat-Bulk, functional GGA-PBE.

Cell: 6.0010 7.4470 7.4248 Å, 90.00 90.00 90.00°
Last column: nearest neighbours and their distance in Å.
Element x y z (fractional)
Tb (0.2500, 0.0000, 0.1304)  2 Mg 3.13, 2 Pr 3.17
Tb (0.7500, 0.0000, 0.8696)  2 Mg 3.13, 2 Pr 3.17
Pr (0.2500, 0.2827, 0.8121)  1 Tb 3.17, 1 Pr 3.24, 2 Mg 3.47
Pr (0.2500, 0.7173, 0.8121)  1 Tb 3.17, 1 Pr 3.24, 2 Mg 3.47
Pr (0.7500, 0.2827, 0.1879)  1 Tb 3.17, 1 Pr 3.24, 2 Mg 3.47
Pr (0.7500, 0.7173, 0.1879)  1 Tb 3.17, 1 Pr 3.24, 2 Mg 3.47
Sm (0.2500, 0.5000, 0.3485)  6 Pr 3.61-3.80, 2 Sm 3.75
Sm (0.7500, 0.5000, 0.6515)  6 Pr 3.61-3.80, 2 Sm 3.75
Mg (0.0000, 0.0000, 0.5000)  2 Mg 3.00, 2 Tb 3.13
Mg (0.5000, 0.0000, 0.5000)  2 Mg 3.00, 2 Tb 3.13

Mass density: 6.2 Mg/m³
N(E_F): 7.8 states/eV/f.u.
Calculated formation energy: 152 meV per atom

Record 5
A geometry-optimized Tb4Pr2SmMg structure. Source: Alexandria via LeMat-Bulk, functional GGA-PBE.

Cell: 5.0219 5.0074 10.2644 Å, 90.00 90.04 90.00°
Last column: nearest neighbours and their distance in Å.
Element x y z (fractional)
Tb (0.0005, 0.0000, 0.2524)  4 Tb 3.55, 2 Mg 3.57, 4 Pr 3.57-3.60, 2 Sm 3.61
Tb (0.4995, 0.5000, 0.7477)  4 Tb 3.55, 4 Pr 3.57-3.61, 2 Mg 3.57-3.58, 2 Sm 3.60
Tb (0.5005, 0.5000, 0.2523)  4 Tb 3.55, 4 Pr 3.57-3.61, 2 Mg 3.57-3.58, 2 Sm 3.60
Tb (0.9995, 0.0000, 0.7476)  4 Tb 3.55, 2 Mg 3.57, 4 Pr 3.57-3.60, 2 Sm 3.61
Pr (0.0000, 0.5000, 0.0000)  4 Sm 3.55, 8 Tb 3.60-3.61
Pr (0.5000, 0.0000, 0.5000)  4 Mg 3.55, 8 Tb 3.57-3.58
Sm (0.5000, 0.0000, 0.0000)  4 Pr 3.55, 8 Tb 3.60-3.61
Mg (0.0000, 0.5000, 0.5000)  4 Pr 3.55, 8 Tb 3.57-3.58

Mass density: 7.0 Mg/m³
N(E_F): 12.0 states/eV/f.u.
Calculated formation energy: 26 meV per atom

Record 6
A geometry-optimized Tb6Pr2Sm3Mg structure. Source: Alexandria via LeMat-Bulk, functional GGA-PBE.

Cell: 6.1958 6.1958 11.8763 Å, 95.01 95.01 120.02°
Last column: nearest neighbours and their distance in Å.
Element x y z (fractional)
Tb (0.0828, 0.4139, 0.7498)  6 Tb 3.55-3.59, 1 Mg 3.57, 3 Sm 3.58-3.59, 2 Pr 3.58
Tb (0.2482, 0.2482, 0.2491)  6 Tb 3.55-3.59, 3 Sm 3.56-3.58, 1 Mg 3.58, 2 Pr 3.59
Tb (0.4139, 0.0828, 0.7498)  6 Tb 3.55-3.59, 1 Mg 3.57, 3 Sm 3.58-3.59, 2 Pr 3.58
Tb (0.5861, 0.9172, 0.2502)  6 Tb 3.55-3.59, 1 Mg 3.57, 3 Sm 3.58-3.59, 2 Pr 3.58
Tb (0.7518, 0.7518, 0.7509)  6 Tb 3.55-3.59, 3 Sm 3.56-3.58, 1 Mg 3.58, 2 Pr 3.59
Tb (0.9172, 0.5861, 0.2502)  6 Tb 3.55-3.59, 1 Mg 3.57, 3 Sm 3.58-3.59, 2 Pr 3.58
Pr (0.3335, 0.6665, 0.5000)  3 Pr 3.57-3.58, 3 Mg 3.58, 6 Tb 3.58-3.59
Pr (0.6665, 0.3335, 0.5000)  3 Pr 3.57-3.58, 3 Mg 3.58, 6 Tb 3.58-3.59
Sm (0.1660, 0.8340, 0.0000)  6 Sm 3.56-3.59, 6 Tb 3.56-3.59
Sm (0.5000, 0.5000, 0.0000)  6 Sm 3.57-3.59, 6 Tb 3.58
Sm (0.8340, 0.1660, 0.0000)  6 Sm 3.56-3.59, 6 Tb 3.56-3.59
Mg (0.0000, 0.0000, 0.5000)  6 Tb 3.57-3.58, 6 Pr 3.58

Mass density: 7.3 Mg/m³
N(E_F): 17.6 states/eV/f.u.
Calculated formation energy: 18 meV per atom